# 1
This record from the Alexandria database describes Ho4S3N after structural relaxation. The functional is PBE.

Values from the calculation:
ΔE_f (raw) (eV/atom): -1.761
Energy relative to the lowest polymorph listed for this composition (meV per atom): 127

Lattice parameters (Å, degrees): 5.360 5.360 5.360 90.00 90.00 90.00
Space group Pm-3m (No. 221)
One atom of each set of equivalent atoms:
Ho1 0.000 0.000 0.000 (multiplicity 1)
Ho2 0.000 0.500 0.500 (multiplicity 3)
S1 0.000 0.000 0.500 (multiplicity 3)
N1 0.500 0.500 0.500 (multiplicity 1)

---

# 2
This record from the Alexandria database describes NiAg2As after structural relaxation. The functional is PBE.

Values from the calculation:
ΔH_f (0 K) (eV per atom): 0.20

Lattice parameters (Å, degrees): 3.883 3.883 8.585 90.00 90.00 90.00
Space group I4/mmm (No. 139)
One atom of each set of equivalent atoms:
Ni1 0.000 0.000 0.000 (multiplicity 2)
Ag1 0.000 0.500 0.250 (multiplicity 4)
As1 0.000 0.000 0.500 (multiplicity 2)

---

# 3
This record from the Alexandria database describes YRhW4 after structural relaxation. The functional is PBE.

Values from the calculation:
ΔH_f (0 K) (eV per atom): 0.32

Lattice parameters (Å, degrees): 7.607 7.607 7.607 90.00 90.00 90.00
Space group F-43m (No. 216)
One atom of each set of equivalent atoms:
Y1 0.000 0.000 0.000 (multiplicity 4)
Rh1 0.250 0.250 0.750 (multiplicity 4)
W1 0.126 0.126 0.374 (multiplicity 16)

---

# 4
This record from the Alexandria database describes CePmPa2 after structural relaxation. The functional is PBE.

Values from the calculation:
Energy relative to the lowest polymorph listed for this composition (meV per atom): 287
ΔH_f (0 K) (eV per atom): 0.47

Lattice parameters (Å, degrees): 7.558 7.558 7.558 90.00 90.00 90.00
Space group Fm-3m (No. 225)
One atom of each set of equivalent atoms:
Ce1 0.000 0.000 0.000 (multiplicity 4)
Pm1 0.000 0.000 0.500 (multiplicity 4)
Pa1 0.250 0.250 0.250 (multiplicity 8)

---

# 5
This record from the Alexandria database describes NiBi2BSb after structural relaxation. The functional is PBE.

Values from the calculation:
ΔE_f (raw) (eV/atom): 0.532

Lattice parameters (Å, degrees): 5.308 5.308 3.913 90.00 90.00 90.00
Space group P4/mmm (No. 123)
One atom of each set of equivalent atoms:
Ni1 0.000 0.000 0.000 (multiplicity 1)
Bi1 0.000 0.500 0.500 (multiplicity 2)
B1 0.000 0.000 0.500 (multiplicity 1)
Sb1 0.500 0.500 0.000 (multiplicity 1)

---

# 6
This record from the Alexandria database describes TmLuMg after structural relaxation. The functional is PBE.

Values from the calculation:
Energy relative to the lowest polymorph listed for this composition (meV per atom): 0
ΔH_f (0 K) (eV per atom): -0.02

Lattice parameters (Å, degrees): 3.519 3.519 13.459 90.00 90.00 90.00
Space group I4mm (No. 107)
One atom of each set of equivalent atoms:
Tm1 0.000 0.000 0.000 (multiplicity 2)
Lu1 0.000 0.000 0.674 (multiplicity 2)
Mg1 0.000 0.000 0.337 (multiplicity 2)